Compound: Sm4Fe3CoAs4O4
Source: Alexandria via LeMat-Bulk
Functional: PBE+U
Structure: relaxed

Results
SG: No. 111
E above lowest polymorph: 0.0 meV per atom
Energy: -6.56 eV/atom

Lattice parameters (Å, degrees): 5.666 5.666 9.153 90.00 90.00 90.00
Atoms (fractional coordinates):
Sm 0.250 0.250 0.374
Sm 0.250 0.750 0.626
Sm 0.750 0.250 0.626
Sm 0.750 0.750 0.374
Fe 0.000 0.000 0.000
Fe 0.000 0.500 0.000
Fe 0.500 0.000 0.000
Co 0.500 0.500 0.000
As 0.255 0.255 0.822
As 0.255 0.745 0.178
As 0.745 0.255 0.178
As 0.745 0.745 0.822
O 0.000 0.000 0.500
O 0.000 0.500 0.500
O 0.500 0.000 0.500
O 0.500 0.500 0.500